PmHoMn after structural relaxation. Source: the Alexandria database, functional PBE.

Formation energy: 183 meV/atom

Cell lengths 3.5242, 3.5242, 6.8797 Å; angles 104.84, 104.84, 90.00 degrees
Last column: nearest neighbours and their distance in Å.
Fractional coordinates of all 3 atoms:
Ho  0.3016  0.3016  0.6032  4 Mn 3.01
Pm  0.0280  0.0280  0.0561  4 Mn 3.09
Mn  0.6704  0.6704  0.3408  4 Ho 3.01, 4 Pm 3.09

=====

Ce4P3PtRh12 after structural relaxation. Source: the Alexandria database, functional PBE.

Formation energy: -439 meV/atom

Cell lengths 7.9019, 7.9019, 7.9019 Å; angles 109.47, 109.47, 109.47 degrees
Last column: nearest neighbours and their distance in Å.
Fractional coordinates of all 20 atoms:
Rh  0.5000  0.2500  0.7500  2 P 2.28
Rh  0.2704  0.2704  0.0000  1 P 2.09
Rh  0.7500  0.2500  0.5000  2 P 2.28
Rh  0.2500  0.5000  0.7500  2 P 2.28
Rh  0.2704  0.0000  0.2704  1 P 2.09
Rh  0.2500  0.7500  0.5000  2 P 2.28
Rh  0.7296  0.0000  0.7296  1 P 2.09
Rh  0.0000  0.7296  0.7296  1 P 2.09
Rh  0.7500  0.5000  0.2500  2 P 2.28
Rh  0.7296  0.7296  0.0000  1 P 2.09
Rh  0.0000  0.2704  0.2704  1 P 2.09
Rh  0.5000  0.7500  0.2500  2 P 2.28
P  0.5000  0.5000  0.0000  6 Rh 2.09-2.28
P  0.5000  0.0000  0.5000  6 Rh 2.09-2.28
P  0.0000  0.5000  0.5000  6 Rh 2.09-2.28
Ce  0.5000  0.5000  0.5000  12 Rh 3.23
Ce  0.0000  0.0000  0.5000  12 Rh 3.23
Ce  0.5000  0.0000  0.0000  12 Rh 3.23
Ce  0.0000  0.5000  0.0000  12 Rh 3.23
Pt  0.0000  0.0000  0.0000  6 Rh 2.47

=====

Question: What is the formation energy in the second record?
Answer: -439 meV/atom

=====

Question: The highest formation energy belongs to which entry?
Answer: PmHoMn

=====

Question: The lowest formation energy belongs to which entry?
Answer: Ce4P3PtRh12